Record 1
The following is a GGA-PBE calculation of a geometry-optimized ZrScTcBr2 structure, from Alexandria.

formation energy from raw total energies	0.64	eV per atom

Unit cell a=4.9552 b=4.9552 c=5.0374 alpha=90.00 beta=90.00 gamma=90.00
Space group P4/mmm (No. 123)
One atom of each set of equivalent atoms:
Zr 0.0000 0.0000 0.0000 (multiplicity 1)
Sc 0.5000 0.5000 0.5000 (multiplicity 1)
Tc 0.5000 0.5000 0.0000 (multiplicity 1)
Br 0.0000 0.5000 0.5000 (multiplicity 2)



Record 2
The following is a GGA-PBE calculation of a geometry-optimized ScTe2Br structure, from Alexandria.

distance to the lowest polymorph of the same formula	0.059	eV per atom
formation energy from raw total energies	-0.90	eV per atom

Unit cell a=5.0669 b=4.0337 c=7.4997 alpha=90.00 beta=107.09 gamma=90.00
Space group Pm (No. 6)
One atom of each set of equivalent atoms:
Sc 0.0000 0.0000 0.0000 (multiplicity 1)
Te 0.1281 0.5000 0.2862 (multiplicity 1)
Te 0.5972 0.0000 0.2193 (multiplicity 1)
Br 0.8759 0.5000 0.7507 (multiplicity 1)



Record 3
The following is a GGA-PBE calculation of a geometry-optimized ScTeBr3 structure, from Alexandria.

distance to the lowest polymorph of the same formula	0.000	eV per atom
formation energy from raw total energies	-0.76	eV per atom

Unit cell a=5.3709 b=5.3709 c=5.3709 alpha=90.00 beta=90.00 gamma=90.00
Space group Pm-3m (No. 221)
One atom of each set of equivalent atoms:
Sc 0.0000 0.0000 0.0000 (multiplicity 1)
Te 0.5000 0.5000 0.5000 (multiplicity 1)
Br 0.0000 0.0000 0.5000 (multiplicity 3)